A plane-wave DFT calculation with PBE was carried out for CaHPd3 after structural relaxation.

Lattice parameters (Å, degrees): 4.6667 4.6667 8.0899 90.00 90.00 120.00
Closest atoms and distances in Å follow each position.
Atoms (fractional coordinates):
H  0.0000  0.0000  0.0000  2 Pd 2.02
H  0.0000  0.0000  0.5000  2 Pd 2.02
Ca  0.3333  0.6667  0.7500  5 Pd 2.66-2.69
Ca  0.6667  0.3333  0.2500  5 Pd 2.66-2.69
Pd  0.0000  0.0000  0.2500  2 H 2.02
Pd  0.0000  0.0000  0.7500  2 H 2.02
Pd  0.3333  0.6667  0.0794  1 Ca 2.66, 1 Pd 2.76, 3 H 2.77
Pd  0.3333  0.6667  0.4206  1 Ca 2.66, 1 Pd 2.76, 3 H 2.77
Pd  0.6667  0.3333  0.5794  1 Ca 2.66, 1 Pd 2.76, 3 H 2.77
Pd  0.6667  0.3333  0.9206  1 Ca 2.66, 1 Pd 2.76, 3 H 2.77

Output
space-group type	P6_3/mmc, No. 194
VASP energy	-42.8	eV per cell

---

A plane-wave DFT calculation with PBE was carried out for CaHPd3 after structural relaxation.

Lattice parameters (Å, degrees): 3.8455 3.8455 6.7606 90.00 90.00 90.00
Closest atoms and distances in Å follow each position.
Atoms (fractional coordinates):
H  0.5000  0.5000  0.4426  4 Pd 1.93
Ca  0.0000  0.0000  0.1388  1 Pd 2.58
Pd  0.0000  0.0000  0.7567  1 Ca 2.58, 4 Pd 2.77
Pd  0.5000  0.0000  0.4628  2 H 1.93
Pd  0.0000  0.5000  0.4628  2 H 1.93

Output
space-group type	P4mm, No. 99
VASP energy	-21.0	eV per cell

---

A plane-wave DFT calculation with PBE was carried out for CaH3Pd after structural relaxation.

Lattice parameters (Å, degrees): 16.9709 5.4727 6.6181 90.00 159.01 90.00
Closest atoms and distances in Å follow each position.
Atoms (fractional coordinates):
H  0.2280  0.9651  0.7277  2 Pd 1.74-1.93
H  0.7720  0.0349  0.2723  2 Pd 1.74-1.93
H  0.2720  0.4651  0.7723  2 Pd 1.74-1.93
H  0.7280  0.5349  0.2277  2 Pd 1.74-1.93
H  0.3915  0.2505  0.3917  2 Pd 1.83
H  0.6085  0.7495  0.6083  2 Pd 1.83
H  0.1085  0.7505  0.1083  2 Pd 1.83
H  0.8915  0.2495  0.8917  2 Pd 1.83
H  0.5032  0.7135  0.0026  1 Pd 1.68
H  0.4968  0.2865  0.9974  1 Pd 1.68
H  0.9968  0.2135  0.4974  1 Pd 1.68
H  0.0032  0.7865  0.5026  1 Pd 1.68
Ca  0.3720  0.7503  0.3716  4 H 2.25-2.46
Ca  0.6280  0.2497  0.6284  4 H 2.25-2.46
Ca  0.1280  0.2503  0.1284  4 H 2.25-2.46
Ca  0.8720  0.7497  0.8716  4 H 2.25-2.46
Pd  0.1452  0.2750  0.6453  4 H 1.68-1.83
Pd  0.8548  0.7250  0.3547  4 H 1.68-1.83
Pd  0.3548  0.7750  0.8547  4 H 1.68-1.83
Pd  0.6452  0.2250  0.1453  4 H 1.68-1.83

Output
space-group type	P2_1/c, No. 14
VASP energy	-77.9	eV per cell

---

A plane-wave DFT calculation with PBE was carried out for CaH3Pd after structural relaxation.

Lattice parameters (Å, degrees): 3.7129 3.7129 3.7129 90.00 90.00 90.00
Closest atoms and distances in Å follow each position.
Atoms (fractional coordinates):
H  0.0000  0.5000  0.0000  2 Pd 1.86
H  0.0000  0.0000  0.5000  2 Pd 1.86
H  0.5000  0.0000  0.0000  2 Pd 1.86
Ca  0.5000  0.5000  0.5000  12 H 2.63
Pd  0.0000  0.0000  0.0000  6 H 1.86

Output
space-group type	Pm-3m, No. 221
VASP energy	-19.9	eV per cell

---

A plane-wave DFT calculation with PBE was carried out for CaHPd after structural relaxation.

Lattice parameters (Å, degrees): 3.6174 3.6174 7.1854 90.00 90.00 90.00
Closest atoms and distances in Å follow each position.
Atoms (fractional coordinates):
Ca  0.0000  0.0000  0.7500  4 H 2.55
Ca  0.0000  0.0000  0.2500  4 H 2.55
H  0.5000  0.0000  0.5000  2 Pd 1.81
H  0.0000  0.5000  0.0000  2 Pd 1.81
Pd  0.5000  0.5000  0.0000  2 H 1.81
Pd  0.5000  0.5000  0.5000  2 H 1.81

Output
space-group type	P4_2/mmc, No. 131
VASP energy	-24.7	eV per cell

---

A plane-wave DFT calculation with PBE was carried out for Ca12H5Pd3 after structural relaxation.

Lattice parameters (Å, degrees): 13.5764 13.5764 13.5764 109.47 109.47 109.47
Closest atoms and distances in Å follow each position.
Atoms (fractional coordinates):
Pd  0.7500  0.3750  0.1250  8 Ca 3.02-3.10
Pd  0.8750  0.7500  0.1250  8 Ca 3.02-3.10
Pd  0.3750  0.7500  0.6250  8 Ca 3.02-3.10
Pd  0.2500  0.1250  0.3750  8 Ca 3.02-3.10
Pd  0.8750  0.1250  0.2500  8 Ca 3.02-3.10
Pd  0.3750  0.6250  0.2500  8 Ca 3.02-3.10
Pd  0.6250  0.3750  0.7500  8 Ca 3.02-3.10
Pd  0.1250  0.8750  0.7500  8 Ca 3.02-3.10
Pd  0.7500  0.8750  0.6250  8 Ca 3.02-3.10
Pd  0.6250  0.2500  0.3750  8 Ca 3.02-3.10
Pd  0.1250  0.2500  0.8750  8 Ca 3.02-3.10
Pd  0.2500  0.6250  0.8750  8 Ca 3.02-3.10
H  0.1250  0.3750  0.2500  4 Ca 2.26
H  0.0000  0.5000  0.0000  6 Ca 2.64
H  0.0000  0.0000  0.0000  6 Ca 2.64
H  0.3750  0.2500  0.1250  4 Ca 2.26
H  0.5000  0.0000  0.5000  6 Ca 2.64
H  0.5000  0.5000  0.0000  6 Ca 2.64
H  0.1250  0.7500  0.3750  4 Ca 2.26
H  0.7500  0.1250  0.8750  4 Ca 2.26
H  0.7500  0.6250  0.3750  4 Ca 2.26
H  0.3750  0.1250  0.7500  4 Ca 2.26
H  0.6250  0.8750  0.2500  4 Ca 2.26
H  0.5000  0.5000  0.5000  6 Ca 2.64
H  0.5000  0.0000  0.0000  6 Ca 2.64
H  0.0000  0.0000  0.5000  6 Ca 2.64
H  0.2500  0.3750  0.6250  4 Ca 2.26
H  0.2500  0.8750  0.1250  4 Ca 2.26
H  0.0000  0.5000  0.5000  6 Ca 2.64
H  0.8750  0.2500  0.6250  4 Ca 2.26
H  0.6250  0.7500  0.8750  4 Ca 2.26
H  0.8750  0.6250  0.7500  4 Ca 2.26
Ca  0.7122  0.1227  0.0247  1 H 2.26
Ca  0.3125  0.5247  0.4020  1 H 2.26
Ca  0.9753  0.3773  0.2878  1 H 2.26
Ca  0.5247  0.2122  0.1227  1 H 2.26
Ca  0.5894  0.7122  0.6875  1 H 2.26
Ca  0.9753  0.5980  0.1875  1 H 2.26
Ca  0.3125  0.7878  0.4106  1 H 2.26
Ca  0.0980  0.9106  0.1227  1 H 2.26
Ca  0.5980  0.9753  0.6875  1 H 2.26
Ca  0.7122  0.5894  0.1875  1 H 2.26
Ca  0.7878  0.4753  0.3773  1 H 2.26
Ca  0.8125  0.9020  0.0247  1 H 2.26
Ca  0.1227  0.7122  0.5247  1 H 2.26
Ca  0.3773  0.4020  0.0894  1 H 2.26
Ca  0.0894  0.9020  0.3773  1 H 2.26
Ca  0.4106  0.1227  0.5980  1 H 2.26
Ca  0.0894  0.1875  0.2122  1 H 2.26
Ca  0.4753  0.6875  0.0980  1 H 2.26
Ca  0.8125  0.9106  0.2878  1 H 2.26
Ca  0.1227  0.4106  0.0980  1 H 2.26
Ca  0.3773  0.9753  0.7878  1 H 2.26
Ca  0.5980  0.6227  0.4106  1 H 2.26
Ca  0.9020  0.8125  0.5247  1 H 2.26
Ca  0.7878  0.3125  0.9106  1 H 2.26
Ca  0.4020  0.3773  0.5894  1 H 2.26
Ca  0.0980  0.1875  0.4753  1 H 2.26
Ca  0.2122  0.6875  0.0894  1 H 2.26
Ca  0.1875  0.0894  0.7122  1 H 2.26
Ca  0.6227  0.0247  0.2122  1 H 2.26
Ca  0.8773  0.5894  0.9020  1 H 2.26
Ca  0.5247  0.3125  0.9020  1 H 2.26
Ca  0.5894  0.8773  0.4020  1 H 2.26
Ca  0.9106  0.8125  0.7878  1 H 2.26
Ca  0.9106  0.0980  0.6227  1 H 2.26
Ca  0.8773  0.2878  0.4753  1 H 2.26
Ca  0.1875  0.0980  0.9753  1 H 2.26
Ca  0.6227  0.5980  0.9106  1 H 2.26
Ca  0.4020  0.0247  0.3125  1 H 2.26
Ca  0.2878  0.4106  0.8125  1 H 2.26
Ca  0.2122  0.5247  0.6227  1 H 2.26
Ca  0.9020  0.0894  0.8773  1 H 2.26
Ca  0.6875  0.2122  0.5894  1 H 2.26
Ca  0.4753  0.7878  0.8773  1 H 2.26
Ca  0.0247  0.4020  0.8125  1 H 2.26
Ca  0.4106  0.2878  0.3125  1 H 2.26
Ca  0.0247  0.6227  0.7122  1 H 2.26
Ca  0.6875  0.4753  0.5980  1 H 2.26
Ca  0.2878  0.8773  0.9753  1 H 2.26

Output
space-group type	Ia-3d, No. 230
VASP energy	-258.5	eV per cell

---

A plane-wave DFT calculation with PBE was carried out for Ca4HPd2 after structural relaxation.

Lattice parameters (Å, degrees): 4.5951 4.5951 8.4498 74.22 74.22 90.00
Closest atoms and distances in Å follow each position.
Atoms (fractional coordinates):
H  0.0000  0.0000  0.0000  4 Ca 2.30
Ca  0.8165  0.8165  0.3671  1 H 2.86, 1 Pd 2.94
Ca  0.1835  0.1835  0.6329  1 H 2.86, 1 Pd 2.94
Ca  0.0000  0.5000  0.0000  2 H 2.30
Ca  0.5000  0.0000  0.0000  2 H 2.30
Pd  0.6281  0.6281  0.7437  5 Ca 2.94-3.05
Pd  0.3719  0.3719  0.2563  5 Ca 2.94-3.05

Output
space-group type	I4/mmm, No. 139
VASP energy	-25.3	eV per cell

---

A plane-wave DFT calculation with PBE was carried out for CaHPd2 after structural relaxation.

Lattice parameters (Å, degrees): 4.3207 4.3207 4.3926 90.00 90.00 120.00
Closest atoms and distances in Å follow each position.
Atoms (fractional coordinates):
Ca  0.0000  0.0000  0.5000  2 H 2.20
H  0.0000  0.0000  0.0000  2 Ca 2.20
Pd  0.3333  0.6667  0.0000  3 Pd 2.49, 3 H 2.49
Pd  0.6667  0.3333  0.0000  3 Pd 2.49, 3 H 2.49

Output
space-group type	P6/mmm, No. 191
VASP energy	-16.3	eV per cell

---

A plane-wave DFT calculation with PBE was carried out for CaHPd3 after structural relaxation.

Lattice parameters (Å, degrees): 4.7865 4.7865 10.6956 77.07 77.07 90.00
Closest atoms and distances in Å follow each position.
Atoms (fractional coordinates):
H  0.6215  0.1215  0.7570  6 Pd 2.39-2.67
H  0.8785  0.3785  0.2430  6 Pd 2.39-2.67
Ca  0.0000  0.0000  0.0000  4 Pd 2.79
Ca  0.2500  0.7500  0.5000  4 Pd 2.82
Pd  0.1216  0.8753  0.2493  2 Pd 2.36-2.43
Pd  0.1247  0.8784  0.7507  2 Pd 2.36-2.43
Pd  0.1247  0.3709  0.7507  2 Pd 2.36-2.43
Pd  0.6291  0.8753  0.2493  2 Pd 2.36-2.43
Pd  0.3768  0.3768  0.2465  2 H 2.39
Pd  0.6232  0.6232  0.7535  2 H 2.39

Output
space-group type	I-4m2, No. 119
VASP energy	-39.2	eV per cell

---

A plane-wave DFT calculation with PBE was carried out for CaHPd3 after structural relaxation.

Lattice parameters (Å, degrees): 5.9613 5.9563 4.8287 89.99 90.00 59.97
Closest atoms and distances in Å follow each position.
Atoms (fractional coordinates):
H  0.4242  0.9062  0.9574  3 Pd 1.83
H  0.0919  0.5709  0.4574  3 Pd 1.83
Ca  0.4244  0.9057  0.4574  2 H 2.41
Ca  0.0916  0.5713  0.9574  2 H 2.41
Pd  0.9146  0.9255  0.4575  1 H 1.83
Pd  0.4459  0.3948  0.4574  1 H 1.83
Pd  0.0702  0.0823  0.9575  1 H 1.83
Pd  0.6015  0.5516  0.9574  1 H 1.83
Pd  0.9139  0.3948  0.4574  1 H 1.83
Pd  0.6021  0.0823  0.9575  1 H 1.83

Output
space-group type	Cmcm, No. 63
VASP energy	-47.2	eV per cell

---

Please write out number 8 again, unchanged.
A plane-wave DFT calculation with PBE was carried out for CaHPd2 after structural relaxation.

Lattice parameters (Å, degrees): 4.3207 4.3207 4.3926 90.00 90.00 120.00
Closest atoms and distances in Å follow each position.
Atoms (fractional coordinates):
Ca  0.0000  0.0000  0.5000  2 H 2.20
H  0.0000  0.0000  0.0000  2 Ca 2.20
Pd  0.3333  0.6667  0.0000  3 Pd 2.49, 3 H 2.49
Pd  0.6667  0.3333  0.0000  3 Pd 2.49, 3 H 2.49

Output
space-group type	P6/mmm, No. 191
VASP energy	-16.3	eV per cell

---

Number 1 is which compound? CaHPd3

---

Which formula does entry 9 have? CaHPd3